Entry from Alexandria via LeMat-Bulk: crystalline Nb3PdS4 at its relaxed geometry (PBE).

a = 6.474 Å, b = 6.788 Å, c = 6.769 Å
α = 90.00°, β = 90.00°, γ = 90.00°
Element x y z (fractional)
S1 0.081 0.883 0.500
S2 0.690 0.707 0.248
S3 0.583 0.124 0.500
S4 0.190 0.293 0.252
S5 0.690 0.707 0.752
S6 0.190 0.293 0.748
S7 0.083 0.876 0.000
S8 0.581 0.117 0.000
Nb1 0.555 0.383 0.240
Nb2 0.055 0.617 0.740
Nb3 0.436 0.773 0.000
Nb4 0.555 0.383 0.760
Nb5 0.936 0.227 0.500
Nb6 0.055 0.617 0.260
Pd1 0.425 0.763 0.500
Pd2 0.925 0.237 0.000

Computed properties:
Final energy (eV/atom): -7.138
Raw formation energy (eV/f.u.): -5.19
Theoretical density (g cm⁻³): 5.73